! PBE with a Hubbard U TlVSeO5, relaxed; values from VASP
&SYSTEM
  ibrav = 0, nat = 32, ntyp = 4
/
ATOMIC_SPECIES
Tl 204.38 Tl.upf
V 50.94 V.upf
Se 78.96 Se.upf
O 16.00 O.upf
ATOMIC_POSITIONS angstrom
Tl 0.193 0.940 0.000
Tl 3.402 5.378 4.015
Tl 3.788 3.499 0.000
Tl 6.997 7.938 4.015
V 1.513 6.590 7.181
V 2.082 2.151 3.166
V 5.108 6.726 7.181
V 5.677 2.288 3.166
Se 0.317 4.586 1.478
Se 3.278 0.147 5.494
Se 3.912 8.730 1.478
Se 6.873 4.291 5.494
O 0.467 1.607 2.882
O 0.798 4.845 7.827
O 0.796 5.569 5.266
O 1.580 7.298 0.650
O 1.791 8.185 5.998
O 1.804 3.746 1.983
O 2.015 2.860 4.666
O 2.797 0.406 3.811
O 2.799 1.130 1.250
O 3.128 6.046 6.897
O 4.062 2.831 2.882
O 4.391 7.747 5.266
O 4.393 8.471 7.827
O 5.175 6.018 0.650
O 5.386 5.131 5.998
O 5.399 0.693 1.983
O 5.610 1.579 4.666
O 6.394 3.308 1.250
O 6.392 4.033 3.811
O 6.723 7.270 6.897
CELL_PARAMETERS angstrom
7.190 0.000 0.000
0.000 8.877 0.000
0.000 0.000 8.031
! Space-group type: No. 33
! Uncorrected energy (eV per cell): -193.32
! Total magnetic moment (μB per atom): 0.000